No. 1
An optimized crystal structure of Sr2Ag2Ge3. Source: Alexandria via LeMat-Bulk, functional PBE.

The value obtained for the total energy is -3.5831 eV/atom. Its spin magnetization is 0.00 Bohr magnetons per cell. The density of states at the Fermi level comes out at 1.9 states/eV/f.u. Its density is 5.74 Mg/m³.

Geometry as POSCAR:
```
Sr2Ag2Ge3
1.0
5.763 -2.271 0.000
5.763 2.271 0.000
-1.417 0.000 6.727
Sr Ag Ge
2 2 3
direct
0.171 0.171 0.229
0.829 0.829 0.771
0.099 0.099 0.698
0.901 0.901 0.302
0.418 0.418 0.093
0.500 0.500 0.500
0.582 0.582 0.907
```

No. 2
An optimized crystal structure of SrAg2Ge2. Source: Alexandria via LeMat-Bulk, functional PBE.

The value obtained for the total energy is -3.6611 eV/atom. Its spin magnetization is 0.00 Bohr magnetons per cell. The density of states at the Fermi level comes out at 1.9 states/eV/f.u. Its density is 6.75 Mg/m³.

Geometry as POSCAR:
```
SrAg2Ge2
1.0
3.182 -3.185 0.000
3.182 3.185 0.000
-3.141 0.000 5.442
Sr Ag Ge
1 2 2
direct
0.000 0.000 0.000
0.252 0.748 0.500
0.748 0.252 0.500
0.383 0.383 0.773
0.617 0.617 0.227
```

Copy entry 1 word for word.
An optimized crystal structure of Sr2Ag2Ge3. Source: Alexandria via LeMat-Bulk, functional PBE.

The value obtained for the total energy is -3.5831 eV/atom. Its spin magnetization is 0.00 Bohr magnetons per cell. The density of states at the Fermi level comes out at 1.9 states/eV/f.u. Its density is 5.74 Mg/m³.

Geometry as POSCAR:
```
Sr2Ag2Ge3
1.0
5.763 -2.271 0.000
5.763 2.271 0.000
-1.417 0.000 6.727
Sr Ag Ge
2 2 3
direct
0.171 0.171 0.229
0.829 0.829 0.771
0.099 0.099 0.698
0.901 0.901 0.302
0.418 0.418 0.093
0.500 0.500 0.500
0.582 0.582 0.907
```

> Number 2 is which compound?

SrAg2Ge2

> Which of these has the highest density?

SrAg2Ge2